VASP calculation (PBE) on an optimized crystal structure of Sm2Tm2BI5.

```
Sm2Tm2BI5
1.0
9.810 -2.035 0.000
9.810 2.035 0.000
-1.860 0.000 8.587
Sm Tm B I
2 2 1 5
Direct
0.001 0.001 0.300
0.999 0.999 0.700
0.372 0.372 0.436
0.628 0.628 0.564
0.500 0.500 0.500
0.165 0.165 0.827
0.169 0.169 0.337
0.500 0.500 0.000
0.831 0.831 0.663
0.835 0.835 0.173
```

Output
* raw total energy: -43.49 eV/f.u.
* spin magnetization: 0.01 μB per formula unit

VASP calculation (PBE) on an optimized crystal structure of Zr2Cd3Mo4N3.

```
Zr2Cd3Mo4N3
1.0
4.784 -2.778 0.000
4.784 2.778 0.000
-3.176 0.000 13.880
Zr Cd Mo N
4 6 8 6
Direct
0.031 0.862 0.601
0.138 0.969 0.899
0.862 0.031 0.101
0.969 0.138 0.399
0.081 0.346 0.748
0.346 0.081 0.248
0.489 0.511 0.250
0.511 0.489 0.750
0.654 0.919 0.752
0.919 0.654 0.252
0.192 0.368 0.071
0.320 0.462 0.429
0.368 0.192 0.571
0.462 0.320 0.929
0.538 0.680 0.071
0.632 0.808 0.429
0.680 0.538 0.571
0.808 0.632 0.929
0.000 0.500 0.500
0.154 0.693 0.000
0.307 0.846 0.500
0.500 0.000 0.000
0.693 0.154 0.500
0.846 0.307 0.000
```

Output
* raw total energy: -92.65 eV/f.u.
* spin magnetization: 0.01 μB per formula unit

VASP calculation (PBE) on an optimized crystal structure of SrSmTe2AuSe.

```
SrSmTe2AuSe
1.0
2.149 -7.431 0.000
2.149 7.431 0.000
0.000 0.000 10.860
Sr Sm Te Au Se
2 2 4 2 2
Direct
0.239 0.761 0.750
0.761 0.239 0.250
0.500 0.500 0.000
0.500 0.500 0.500
0.150 0.850 0.058
0.150 0.850 0.442
0.850 0.150 0.558
0.850 0.150 0.942
0.028 0.972 0.250
0.972 0.028 0.750
0.417 0.583 0.250
0.583 0.417 0.750
```

Output
* raw total energy: -27.14 eV/f.u.
* spin magnetization: 0.00 μB per formula unit

VASP calculation (PBE) on an optimized crystal structure of LiGePd2.

```
LiGePd2
1.0
4.316 0.000 0.000
-2.158 3.738 0.000
0.000 0.000 7.673
Li Ge Pd
2 2 4
Direct
0.000 0.000 0.250
0.000 0.000 0.750
0.333 0.667 0.250
0.667 0.333 0.750
0.333 0.667 0.579
0.333 0.667 0.921
0.667 0.333 0.079
0.667 0.333 0.421
```

Output
* raw total energy: -18.44 eV/f.u.

VASP calculation (PBE) on an optimized crystal structure of NdHo2.

```
NdHo2
1.0
0.000 4.669 4.669
4.669 0.000 4.669
4.669 4.669 0.000
Nd Ho
2 4
Direct
0.125 0.125 0.125
0.875 0.875 0.875
0.000 0.500 0.500
0.500 0.000 0.500
0.500 0.500 0.000
0.500 0.500 0.500
```

Output
* energy relative to the elements: 0.28 eV per atom
* distance to the lowest polymorph of the same formula: 0.0 meV/atom
* raw total energy: -13.07 eV/f.u.
* spin magnetization: 1.39 μB per formula unit

VASP calculation (PBE) on an optimized crystal structure of PuAlGe.

```
PuAlGe
1.0
-2.065 2.065 7.279
2.065 -2.065 7.279
2.065 2.065 -7.279
Pu Al Ge
2 2 2
Direct
0.162 0.162 0.000
0.838 0.838 0.000
0.000 0.500 0.500
0.500 0.000 0.500
0.369 0.369 0.000
0.631 0.631 0.000
```

Output
* raw total energy: -23.89 eV/f.u.
* spin magnetization: 5.70 μB per formula unit

VASP calculation (PBE) on an optimized crystal structure of BaNb.

```
BaNb
1.0
0.000 3.918 3.918
3.918 0.000 3.918
3.918 3.918 0.000
Ba Nb
1 1
Direct
0.000 0.000 0.000
0.750 0.750 0.750
```

Output
* distance to the lowest polymorph of the same formula: 1163.0 meV/atom
* raw total energy: -7.11 eV/f.u.
* spin magnetization: 5.09 μB per formula unit

VASP calculation (PBE) on an optimized crystal structure of LaHo2Al7Cu2.

```
LaHo2Al7Cu2
1.0
2.764 1.596 8.556
-2.764 1.596 8.556
0.000 -3.192 8.556
La Ho Al Cu
1 2 7 2
Direct
0.000 0.000 0.000
0.142 0.142 0.142
0.858 0.858 0.858
0.074 0.583 0.583
0.417 0.417 0.926
0.417 0.926 0.417
0.500 0.500 0.500
0.583 0.074 0.583
0.583 0.583 0.074
0.926 0.417 0.417
0.335 0.335 0.335
0.665 0.665 0.665
```

Output
* raw total energy: -53.75 eV/f.u.
* spin magnetization: 0.01 μB per formula unit

VASP calculation (PBE) on an optimized crystal structure of DyPuGa.

```
DyPuGa
1.0
0.000 3.501 3.501
3.501 0.000 3.501
3.501 3.501 0.000
Dy Pu Ga
1 1 1
Direct
0.000 0.000 0.000
0.500 0.500 0.500
0.250 0.250 0.250
```

Output
* distance to the lowest polymorph of the same formula: 0.0 meV/atom
* raw total energy: -21.98 eV/f.u.
* spin magnetization: 6.23 μB per formula unit

VASP calculation (PBE) on an optimized crystal structure of Nb2AlZn.

```
Nb2AlZn
1.0
0.000 3.227 3.227
3.227 0.000 3.227
3.227 3.227 0.000
Nb Al Zn
2 1 1
Direct
0.000 0.000 0.000
0.250 0.250 0.250
0.500 0.500 0.500
0.750 0.750 0.750
```

Output
* raw total energy: -24.70 eV/f.u.
* spin magnetization: 0.33 μB per formula unit

VASP calculation (PBE) on an optimized crystal structure of LuCuSiHg.

```
LuCuSiHg
1.0
0.000 3.347 3.347
3.347 0.000 3.347
3.347 3.347 0.000
Lu Cu Si Hg
1 1 1 1
Direct
0.000 0.000 0.000
0.750 0.750 0.750
0.500 0.500 0.500
0.250 0.250 0.250
```

Output
* distance to the lowest polymorph of the same formula: 89.1 meV/atom
* raw total energy: -14.06 eV/f.u.
* spin magnetization: 0.00 μB per formula unit

VASP calculation (PBE) on an optimized crystal structure of NiBiW2.

```
NiBiW2
1.0
0.000 3.250 3.250
3.250 0.000 3.250
3.250 3.250 0.000
Ni Bi W
1 1 2
Direct
0.000 0.000 0.000
0.750 0.750 0.750
0.250 0.250 0.250
0.500 0.500 0.500
```

Output
* raw total energy: -32.13 eV/f.u.
* spin magnetization: 0.04 μB per formula unit

VASP calculation (PBE) on an optimized crystal structure of PrErNi2Ge4.

```
PrErNi2Ge4
1.0
4.205 0.000 0.000
0.000 2.089 8.338
0.000 -2.089 8.338
Pr Er Ni Ge
1 1 2 4
Direct
0.000 0.000 0.000
0.500 0.216 0.216
0.000 0.787 0.787
0.500 0.426 0.426
0.000 0.356 0.356
0.000 0.650 0.650
0.500 0.566 0.566
0.500 0.855 0.855
```

Output
* raw total energy: -44.60 eV/f.u.
* spin magnetization: 0.00 μB per formula unit

VASP calculation (PBE) on an optimized crystal structure of TaSbN2O.

```
TaSbN2O
1.0
3.888 0.000 0.000
0.000 3.888 0.000
0.000 0.000 4.659
Ta Sb N O
1 1 2 1
Direct
0.000 0.000 0.000
0.500 0.500 0.612
0.000 0.500 0.855
0.500 0.000 0.855
0.000 0.000 0.391
```

Output
* raw total energy: -42.02 eV/f.u.
* spin magnetization: 0.00 μB per formula unit

VASP calculation (PBE) on an optimized crystal structure of TbSm2Cu4Pb4.

```
TbSm2Cu4Pb4
1.0
-2.316 3.529 7.588
2.316 -3.529 7.588
2.316 3.529 -7.588
Tb Sm Cu Pb
1 2 4 4
Direct
0.000 0.000 0.000
0.368 0.868 0.500
0.632 0.132 0.500
0.016 0.330 0.686
0.356 0.670 0.686
0.644 0.330 0.314
0.984 0.670 0.314
0.215 0.215 0.000
0.290 0.500 0.790
0.710 0.500 0.210
0.785 0.785 0.000
```

Output
* raw total energy: -47.02 eV/f.u.
* spin magnetization: 0.00 μB per formula unit

VASP calculation (PBE) on an optimized crystal structure of HgSbSeO.

```
HgSbSeO
1.0
5.630 0.000 0.000
0.000 7.337 0.000
0.000 0.000 5.452
Hg Sb Se O
2 2 2 2
Direct
0.000 0.247 0.000
0.000 0.753 0.500
0.500 0.330 0.493
0.500 0.670 0.993
0.000 0.254 0.502
0.000 0.746 0.002
0.500 0.424 0.835
0.500 0.576 0.335
```

Output
* distance to the lowest polymorph of the same formula: 33.9 meV/atom
* raw total energy: -14.84 eV/f.u.

VASP calculation (PBE) on an optimized crystal structure of Zn4Ge3.

```
Zn4Ge3
1.0
7.750 0.000 0.000
-3.875 6.712 0.000
0.000 0.000 4.641
Zn Ge
8 6
Direct
0.101 0.499 0.250
0.333 0.667 0.750
0.398 0.899 0.250
0.499 0.398 0.750
0.501 0.602 0.250
0.602 0.101 0.750
0.667 0.333 0.250
0.899 0.501 0.750
0.077 0.258 0.750
0.181 0.923 0.750
0.258 0.181 0.250
0.742 0.819 0.750
0.819 0.077 0.250
0.923 0.742 0.250
```

Output
* distance to the lowest polymorph of the same formula: 0.0 meV/atom
* raw total energy: -17.57 eV/f.u.

VASP calculation (PBE) on an optimized crystal structure of NdGdGe4Os2.

```
NdGdGe4Os2
1.0
4.522 0.000 0.000
0.000 4.416 0.000
-2.002 0.000 8.166
Nd Gd Ge Os
1 1 4 2
Direct
0.000 0.000 0.000
0.209 0.500 0.417
0.279 0.000 0.706
0.560 0.500 0.117
0.644 0.000 0.296
0.922 0.500 0.704
0.486 0.500 0.822
0.714 0.000 0.589
```

Output
* raw total energy: -54.28 eV/f.u.
* spin magnetization: 0.00 μB per formula unit

VASP calculation (PBE) on an optimized crystal structure of GdHoCo2Si4.

```
GdHoCo2Si4
1.0
3.967 0.000 0.000
0.000 2.014 8.133
0.000 -2.014 8.133
Gd Ho Co Si
1 1 2 4
Direct
0.000 0.000 0.000
0.500 0.216 0.216
0.000 0.786 0.786
0.500 0.428 0.428
0.000 0.357 0.357
0.000 0.651 0.651
0.500 0.565 0.565
0.500 0.857 0.857
```

Output
* raw total energy: -51.42 eV/f.u.
* spin magnetization: 0.00 μB per formula unit

VASP calculation (PBE) on an optimized crystal structure of NaYCoBi.

```
NaYCoBi
1.0
0.000 3.421 3.421
3.421 0.000 3.421
3.421 3.421 0.000
Na Y Co Bi
1 1 1 1
Direct
0.000 0.000 0.000
0.250 0.250 0.250
0.500 0.500 0.500
0.750 0.750 0.750
```

Output
* distance to the lowest polymorph of the same formula: 0.0 meV/atom
* raw total energy: -19.13 eV/f.u.
* spin magnetization: 0.00 μB per formula unit